[1]
12
Lattice="4.9528 -8.7200 0.0000 4.9528 8.7200 0.0000 -3.4877 0.0000 4.7777" Properties=species:S:1:pos:R:3 comment="GGA-PBE K5LiHg6, optimized geometry" space_group="No. 12" pbc="T T T"
K 0.0000 0.0000 0.0000
K 3.2090 6.0607 2.3888
K 4.9528 3.3854 0.0000
K 4.9528 -3.3854 0.0000
K 3.2090 -6.0607 2.3888
Li 3.2090 0.0000 2.3888
Hg 1.9571 2.4426 1.4755
Hg 0.2841 0.0000 3.8824
Hg 1.9571 -2.4426 1.4755
Hg 4.4608 2.4426 3.3022
Hg 6.1339 0.0000 0.8952
Hg 4.4608 -2.4426 3.3022

---

[2]
5
Lattice="-2.7400 2.7400 6.9658 2.7400 -2.7400 6.9658 2.7400 2.7400 -6.9658" Properties=species:S:1:pos:R:3 comment="GGA-PBE K2LiHg2, optimized geometry" space_group="No. 139" relative_energy_ev_per_fu=1.12 pbc="T T T"
K 2.7400 0.0000 3.4829
K 0.0000 2.7400 3.4829
Li 0.0000 0.0000 0.0000
Hg 0.0000 0.0000 5.5519
Hg 0.0000 0.0000 8.3796

---

[3]
7
Lattice="-3.3701 3.3701 8.7307 3.3701 -3.3701 8.7307 3.3701 3.3701 -8.7307" Properties=species:S:1:pos:R:3 comment="GGA-PBE K4Li2Hg, optimized geometry" space_group="No. 139" pbc="T T T"
K 3.3701 0.0000 0.0000
K 0.0000 0.0000 3.4906
K 0.0000 3.3701 0.0000
K 0.0000 0.0000 13.9708
Li 0.0000 0.0000 7.1639
Li 0.0000 0.0000 10.2975
Hg 0.0000 0.0000 0.0000

---

[4]
14
Lattice="-2.4788 5.6998 7.1631 2.4788 -5.6998 7.1631 2.4788 5.6998 -7.1631" Properties=species:S:1:pos:R:3 comment="GGA-PBE K3Li2Hg9, optimized geometry" space_group="No. 71" pbc="T T T"
K 0.0000 0.0000 0.0000
K 0.0000 0.0000 4.2637
K 0.0000 0.0000 10.0625
Li 2.4788 3.5049 0.0000
Li 0.0000 2.1949 7.1631
Hg 2.4788 -1.5693 2.2185
Hg 2.4788 -2.4256 5.3260
Hg 2.4788 1.5693 2.2185
Hg 0.0000 3.2742 1.8372
Hg 0.0000 5.6998 0.0000
Hg 2.4788 2.4256 5.3260
Hg 0.0000 4.1305 4.9447
Hg 0.0000 8.1255 1.8372
Hg 0.0000 7.2691 4.9447

---

[5]
24
Lattice="13.9791 0.0000 0.0000 0.0000 4.9448 0.0000 0.0000 0.0000 14.0013" Properties=species:S:1:pos:R:3 comment="GGA-PBE K3LiHg2, optimized geometry" space_group="No. 62" pbc="T T T"
K 0.7636 1.2362 1.6761
K 1.7222 3.7086 7.9362
K 2.7298 1.2362 11.1241
K 4.2597 3.7086 4.1234
K 5.2674 1.2362 0.9356
K 6.2260 3.7086 8.6768
K 7.7532 1.2362 5.3245
K 8.7117 3.7086 13.0657
K 9.7194 1.2362 9.8778
K 11.2493 3.7086 2.8772
K 12.2569 1.2362 6.0651
K 13.2155 3.7086 12.3251
Li 1.7722 1.2362 5.1888
Li 5.2174 3.7086 12.1894
Li 8.7617 1.2362 1.8118
Li 12.2069 3.7086 8.8125
Hg 0.5862 3.7086 4.4985
Hg 2.7967 3.7086 13.8009
Hg 4.1928 1.2362 6.8003
Hg 6.4034 1.2362 11.4991
Hg 7.5758 3.7086 2.5022
Hg 9.7863 3.7086 7.2010
Hg 11.1824 1.2362 0.2003
Hg 13.3929 1.2362 9.5028

---

[6]
6
Lattice="0.0000 4.2109 4.2109 4.2109 0.0000 4.2109 4.2109 4.2109 0.0000" Properties=species:S:1:pos:R:3 comment="GGA-PBE KLi4Hg, optimized geometry" space_group="No. 216" pbc="T T T"
K 0.0000 0.0000 0.0000
Li 5.2439 3.1779 3.1779
Li 3.1779 5.2439 3.1779
Li 3.1779 3.1779 5.2439
Li 5.2439 5.2439 5.2439
Hg 2.1054 2.1054 2.1054

---

| no. | E_form (eV/atom) |
| --- | --- |
| 1 | -0.229 |
| 2 | 0.016 |
| 3 | 0.119 |
| 4 | -0.250 |
| 5 | -0.149 |
| 6 | 0.006 |